The following is a GGA-PBE calculation of a relaxed structure of Pm2HoZr, from Alexandria via LeMat-Bulk.

Cell lengths 5.539, 5.539, 5.539 Å; angles 60.00, 60.00, 60.00 degrees
Positions (direct):
Pm 0.250 0.250 0.250
Pm 0.750 0.750 0.750
Ho 0.000 0.000 0.000
Zr 0.500 0.500 0.500

Computed properties:
formation energy from the elements: 217 meV per atom
E: -0.3998 Ry per atom
size of the total moment: 1.46 μB per cell
symmetry: Fm-3m, No. 225
energy relative to the lowest polymorph listed for this composition: 102 meV/atom

The following is a GGA-PBE calculation of a relaxed structure of Ca2SbPRh6, from Alexandria via LeMat-Bulk.

Cell lengths 5.834, 8.677, 7.649 Å; angles 90.00, 90.00, 90.00 degrees
Positions (direct):
Ca 0.250 0.031 0.202
Ca 0.250 0.469 0.202
Ca 0.750 0.531 0.798
Ca 0.750 0.969 0.798
Sb 0.250 0.750 0.784
Sb 0.750 0.250 0.216
P 0.250 0.250 0.729
P 0.750 0.750 0.271
Rh 0.018 0.750 0.070
Rh 0.028 0.750 0.471
Rh 0.250 0.003 0.594
Rh 0.250 0.497 0.594
Rh 0.472 0.750 0.471
Rh 0.482 0.750 0.070
Rh 0.518 0.250 0.930
Rh 0.528 0.250 0.529
Rh 0.750 0.503 0.406
Rh 0.750 0.997 0.406
Rh 0.972 0.250 0.529
Rh 0.982 0.250 0.930

Computed properties:
E: -0.4565 Ry per atom
size of the total moment: 0.00 μB per cell
E_form (uncorrected): -0.447 eV per atom
symmetry: Pmmn, No. 59

The following is a GGA-PBE calculation of a relaxed structure of ScNiAg2, from Alexandria via LeMat-Bulk.

Cell lengths 5.187, 5.187, 5.187 Å; angles 136.79, 135.02, 64.14 degrees
Positions (direct):
Sc 0.000 0.000 0.000
Ni 0.500 0.500 0.000
Ag 0.254 0.754 0.500
Ag 0.746 0.246 0.500

Computed properties:
formation energy from the elements: -186 meV per atom
E: -0.3410 Ry per atom
size of the total moment: 0.00 μB per cell
symmetry: Immm, No. 71

The following is a GGA-PBE calculation of a relaxed structure of Ta14Pt, from Alexandria via LeMat-Bulk.

Cell lengths 10.183, 10.183, 5.317 Å; angles 90.00, 90.00, 90.00 degrees
Positions (direct):
Ta 0.036 0.369 0.000
Ta 0.067 0.259 0.500
Ta 0.102 0.102 0.000
Ta 0.131 0.536 0.500
Ta 0.183 0.817 0.247
Ta 0.183 0.817 0.753
Ta 0.241 0.567 0.000
Ta 0.259 0.067 0.500
Ta 0.317 0.317 0.253
Ta 0.317 0.317 0.747
Ta 0.369 0.036 0.000
Ta 0.398 0.602 0.500
Ta 0.433 0.759 0.000
Ta 0.464 0.869 0.500
Ta 0.536 0.131 0.500
Ta 0.567 0.241 0.000
Ta 0.602 0.398 0.500
Ta 0.631 0.964 0.000
Ta 0.683 0.683 0.253
Ta 0.683 0.683 0.747
Ta 0.741 0.933 0.500
Ta 0.759 0.433 0.000
Ta 0.817 0.183 0.247
Ta 0.817 0.183 0.753
Ta 0.869 0.464 0.500
Ta 0.898 0.898 0.000
Ta 0.933 0.741 0.500
Ta 0.964 0.631 0.000
Pt 0.000 0.000 0.500
Pt 0.500 0.500 0.000

Computed properties:
formation energy from the elements: -111 meV per atom
E: -0.8509 Ry per atom
size of the total moment: 0.00 μB per cell
symmetry: P4_2/mnm, No. 136

The following is a GGA-PBE calculation of a relaxed structure of PmU2As3, from Alexandria via LeMat-Bulk.

Cell lengths 5.852, 12.427, 8.238 Å; angles 90.00, 90.06, 90.00 degrees
Positions (direct):
Pm 0.250 0.081 0.125
Pm 0.250 0.419 0.625
Pm 0.750 0.581 0.375
Pm 0.750 0.919 0.875
U 0.249 0.084 0.623
U 0.249 0.416 0.123
U 0.251 0.747 0.625
U 0.251 0.753 0.125
U 0.749 0.247 0.875
U 0.749 0.253 0.375
U 0.751 0.584 0.877
U 0.751 0.916 0.377
As 0.249 0.249 0.874
As 0.249 0.251 0.374
As 0.250 0.586 0.368
As 0.250 0.914 0.868
As 0.251 0.586 0.880
As 0.251 0.914 0.380
As 0.749 0.086 0.620
As 0.749 0.414 0.120
As 0.750 0.086 0.132
As 0.750 0.414 0.632
As 0.751 0.749 0.626
As 0.751 0.751 0.126

Computed properties:
formation energy from the elements: -976 meV per atom
E: -0.5774 Ry per atom
size of the total moment: 20.10 μB per cell
symmetry: P2_1/c, No. 14

The following is a GGA-PBE calculation of a relaxed structure of HoSnRu2, from Alexandria via LeMat-Bulk.

Cell lengths 3.327, 3.327, 6.544 Å; angles 90.00, 90.00, 90.00 degrees
Positions (direct):
Ho 0.000 0.000 0.000
Sn 0.000 0.000 0.500
Ru 0.500 0.500 0.270
Ru 0.500 0.500 0.730

Computed properties:
formation energy from the elements: -306 meV per atom
E: -0.5210 Ry per atom
size of the total moment: 0.00 μB per cell
symmetry: P4/mmm, No. 123